Record 1
# TbZn5Rh2 (GGA-PBE, relaxed)
# Calculated total energy = -0.13172 Ha/atom
# N(E_F) = 3.78 states/eV per cell
data_TbZn5Rh2
_cell_length_a 6.373
_cell_length_b 6.373
_cell_length_c 6.373
_cell_angle_alpha 145.15
_cell_angle_beta 105.83
_cell_angle_gamma 84.64
_symmetry_space_group_name_H-M 'P 1'
_symmetry_Int_Tables_number 1
loop_
_symmetry_equiv_pos_as_xyz
'x,y,z'
loop_
_atom_site_label
_atom_site_type_symbol
_atom_site_fract_x
_atom_site_fract_y
_atom_site_fract_z
Tb1 Tb 0.000 0.000 0.000
Zn1 Zn 0.163 0.349 0.814
Zn2 Zn 0.465 0.651 0.814
Zn3 Zn 0.500 0.000 0.500
Zn4 Zn 0.535 0.349 0.186
Zn5 Zn 0.837 0.651 0.186
Rh1 Rh 0.234 0.734 0.500
Rh2 Rh 0.766 0.266 0.500



Record 2
# Tb3Zn2Rh3 (GGA-PBE, relaxed)
# Calculated total energy = -0.19985 Ha/atom
# N(E_F) = 8.49 states/eV per cell
data_Tb3Zn2Rh3
_cell_length_a 8.102
_cell_length_b 8.102
_cell_length_c 5.598
_cell_angle_alpha 90.00
_cell_angle_beta 90.00
_cell_angle_gamma 120.00
_symmetry_space_group_name_H-M 'P 1'
_symmetry_Int_Tables_number 1
loop_
_symmetry_equiv_pos_as_xyz
'x,y,z'
loop_
_atom_site_label
_atom_site_type_symbol
_atom_site_fract_x
_atom_site_fract_y
_atom_site_fract_z
Tb1 Tb 0.000 0.274 0.250
Tb2 Tb 0.000 0.726 0.750
Tb3 Tb 0.274 0.000 0.250
Tb4 Tb 0.274 0.274 0.750
Tb5 Tb 0.726 0.000 0.750
Tb6 Tb 0.726 0.726 0.250
Zn1 Zn 0.333 0.667 0.000
Zn2 Zn 0.333 0.667 0.500
Zn3 Zn 0.667 0.333 0.000
Zn4 Zn 0.667 0.333 0.500
Rh1 Rh 0.000 0.393 0.750
Rh2 Rh 0.000 0.607 0.250
Rh3 Rh 0.393 0.000 0.750
Rh4 Rh 0.393 0.393 0.250
Rh5 Rh 0.607 0.000 0.250
Rh6 Rh 0.607 0.607 0.750



Record 3
# Tb4Zn2Rh (GGA-PBE, relaxed)
# Calculated total energy = -0.16282 Ha/atom
# N(E_F) = 5.70 states/eV per cell
data_Tb4Zn2Rh
_cell_length_a 6.094
_cell_length_b 6.094
_cell_length_c 4.903
_cell_angle_alpha 90.00
_cell_angle_beta 90.00
_cell_angle_gamma 108.86
_symmetry_space_group_name_H-M 'P 1'
_symmetry_Int_Tables_number 1
loop_
_symmetry_equiv_pos_as_xyz
'x,y,z'
loop_
_atom_site_label
_atom_site_type_symbol
_atom_site_fract_x
_atom_site_fract_y
_atom_site_fract_z
Tb1 Tb 0.000 0.500 0.500
Tb2 Tb 0.244 0.244 0.000
Tb3 Tb 0.500 0.000 0.500
Tb4 Tb 0.756 0.756 0.000
Zn1 Zn 0.252 0.748 0.000
Zn2 Zn 0.748 0.252 0.000
Rh1 Rh 0.000 0.000 0.500



Record 4
# Tb7ZnRh4 (GGA-PBE, relaxed)
# Calculated total energy = -0.21035 Ha/atom
# N(E_F) = 7.82 states/eV per cell
data_Tb7ZnRh4
_cell_length_a 7.343
_cell_length_b 7.343
_cell_length_c 9.701
_cell_angle_alpha 122.47
_cell_angle_beta 122.47
_cell_angle_gamma 42.86
_symmetry_space_group_name_H-M 'P 1'
_symmetry_Int_Tables_number 1
loop_
_symmetry_equiv_pos_as_xyz
'x,y,z'
loop_
_atom_site_label
_atom_site_type_symbol
_atom_site_fract_x
_atom_site_fract_y
_atom_site_fract_z
Tb1 Tb 0.000 0.000 0.000
Tb2 Tb 0.171 0.171 0.619
Tb3 Tb 0.290 0.290 0.124
Tb4 Tb 0.423 0.423 0.643
Tb5 Tb 0.577 0.577 0.357
Tb6 Tb 0.710 0.710 0.876
Tb7 Tb 0.829 0.829 0.381
Zn1 Zn 0.500 0.500 0.000
Rh1 Rh 0.067 0.067 0.780
Rh2 Rh 0.205 0.205 0.344
Rh3 Rh 0.795 0.795 0.656
Rh4 Rh 0.933 0.933 0.220